Computed, not measured: a relaxed structure of Pm15Sm4Tl at the PBE level of DFT.

Structure (POSCAR):
```
Pm15Sm4Tl
1.0
5.098 0.000 0.000
0.000 5.098 0.000
0.000 0.000 25.843
Pm Sm Tl
15 4 1
Cartesian
0.000 0.000 0.000
0.000 0.000 5.072
0.000 0.000 10.305
0.000 0.000 15.538
0.000 0.000 20.772
0.000 2.549 2.493
0.000 2.549 7.710
0.000 2.549 12.922
0.000 2.549 18.133
0.000 2.549 23.350
2.549 0.000 2.493
2.549 0.000 7.710
2.549 0.000 12.922
2.549 0.000 18.133
2.549 0.000 23.350
2.549 2.549 5.108
2.549 2.549 10.328
2.549 2.549 15.515
2.549 2.549 20.735
2.549 2.549 0.000
```

energy of formation	-22	meV/atom
space-group type	P4/mmm, No. 123